The following is a DFT calculation (GGA+U) of a geometry-optimized NaTl3Mo2O8 structure.

As for the calculated total energy: -5.912 eV/atom. As for the crystal system: trigonal.

Structure (POSCAR):
```
NaTl3Mo2O8
1.0
-3.8606 1.1176 4.7642
-1.3113 -4.5281 -4.0777
3.9910 -5.1578 4.4441
O Mo Tl Na
8 2 3 1
direct
0.8239 0.1761 0.7073
0.8239 0.6479 0.7073
0.6667 0.3333 0.0122
0.3333 0.6667 0.9878
0.3521 0.1761 0.7073
0.6479 0.8239 0.2927
0.1761 0.3521 0.2927
0.1761 0.8239 0.2927
0.6667 0.3333 0.7850
0.3333 0.6667 0.2150
0.0000 0.0000 0.0000
0.6667 0.3333 0.3306
0.3333 0.6667 0.6694
0.0000 0.0000 0.5000
```

The following is a DFT calculation (GGA+U) of a geometry-optimized Na3TmMo2O6 structure.

As for the calculated total energy: -6.267 eV/atom. As for the crystal system: monoclinic.

Structure (POSCAR):
```
Na3TmMo2O6
1.0
5.3604 0.1708 0.0384
-2.5309 4.7284 0.0384
-0.9042 -1.5657 5.6417
O Tm Mo Na
6 1 2 3
direct
0.7563 0.7563 0.2447
0.9360 0.5812 0.7975
0.4188 0.0640 0.2025
0.0640 0.4188 0.2025
0.2437 0.2437 0.7553
0.5812 0.9360 0.7975
0.0000 0.0000 0.0000
0.3613 0.6387 0.0000
0.6387 0.3613 0.0000
0.5000 0.5000 0.5000
0.1733 0.8267 0.5000
0.8267 0.1733 0.5000
```

The following is a DFT calculation (GGA+U) of a geometry-optimized Na2Tm2MoO6 structure.

As for the calculated total energy: -6.939 eV/atom. As for the crystal system: monoclinic.

Structure (POSCAR):
```
Na2Tm2MoO6
1.0
-2.9968 -3.5543 3.2844
-0.2859 -0.5302 -5.6603
5.3769 -2.2882 0.8560
O Tm Mo Na
6 2 1 2
direct
0.9471 0.6287 0.3075
0.6287 0.9471 0.3075
0.3713 0.0529 0.6925
0.7462 0.7462 0.7010
0.0529 0.3713 0.6925
0.2538 0.2538 0.2990
0.6628 0.3372 0.5000
0.3372 0.6628 0.5000
0.0000 0.0000 0.5000
0.8437 0.1563 0.0000
0.1563 0.8437 0.0000
```

The following is a DFT calculation (GGA+U) of a geometry-optimized Na3Tm3MoO8 structure.

As for the calculated total energy: -6.919 eV/atom. As for the crystal system: monoclinic.

Structure (POSCAR):
```
Na3Tm3MoO8
1.0
6.6225 0.0000 0.0000
-3.3112 5.7793 0.0051
0.0000 -3.8095 5.5649
Tm Na Mo O
3 3 1 8
direct
0.5000 0.0000 0.5000
0.5000 0.5000 0.5000
0.0000 0.5000 0.5000
0.0000 0.0000 0.0000
0.5000 0.5000 0.0000
0.0000 0.5000 0.0000
0.0000 0.0000 0.5000
0.2442 0.0252 0.3044
0.2260 0.4521 0.6995
0.7740 0.5479 0.3005
0.7558 0.9748 0.6956
0.2191 0.9748 0.6956
0.2661 0.5323 0.2939
0.7809 0.0252 0.3044
0.7339 0.4677 0.7061
```

The following is a DFT calculation (GGA+U) of a geometry-optimized Na3Tm2MoO6 structure.

As for the calculated total energy: -6.623 eV/atom. As for the crystal system: monoclinic.

Structure (POSCAR):
```
Na3Tm2MoO6
1.0
-2.7556 -0.1214 -5.0330
1.9562 -4.8720 2.3186
-4.5603 0.9855 3.5595
Na O Tm Mo
3 6 2 1
direct
0.5000 0.5000 0.5000
0.1618 0.8382 0.5000
0.8382 0.1618 0.5000
0.6011 0.9299 0.7893
0.7406 0.7406 0.2098
0.2594 0.2594 0.7902
0.3989 0.0701 0.2107
0.9299 0.6011 0.7893
0.0701 0.3989 0.2107
0.3331 0.6669 0.0000
0.6669 0.3331 0.0000
0.0000 0.0000 0.0000
```

The following is a DFT calculation (GGA+U) of a geometry-optimized NaTmMo2O8 structure.

As for the calculated total energy: -7.090 eV/atom. As for the crystal system: tetragonal.

Structure (POSCAR):
```
NaTmMo2O8
1.0
-5.1909 2.0995 -2.5196
-0.3093 -5.5844 2.5338
1.4062 3.8821 4.5446
O Tm Mo Na
8 1 2 1
direct
0.8583 0.6591 0.1992
0.3409 0.5401 0.1992
0.3409 0.1417 0.8008
0.9308 0.2464 0.3156
0.3848 0.0692 0.3156
0.7536 0.0692 0.6844
0.9308 0.6152 0.6844
0.4599 0.6591 0.8008
0.2500 0.7500 0.5000
0.7500 0.2500 0.5000
0.5000 0.5000 0.0000
0.0000 0.0000 0.0000
```

The following is a DFT calculation (GGA+U) of a geometry-optimized Na2TmMoO6 structure.

As for the calculated total energy: -6.434 eV/atom. As for the crystal system: monoclinic.

Structure (POSCAR):
```
Na2TmMoO6
1.0
5.6680 0.0000 -0.0218
0.0000 5.7834 0.0001
0.0180 0.0002 8.0935
Mo O Tm Na
2 12 2 4
direct
0.5000 0.0000 0.5000
0.0000 0.5000 0.0000
0.0784 0.4782 0.7673
0.9216 0.5218 0.2327
0.4216 0.9782 0.7327
0.1923 0.2284 0.0432
0.5784 0.0218 0.2673
0.7276 0.3049 0.9619
0.2724 0.6951 0.0381
0.6923 0.2716 0.5432
0.8077 0.7716 0.9568
0.7724 0.8049 0.5380
0.2276 0.1951 0.4620
0.3077 0.7284 0.4568
0.5000 0.0000 0.0000
0.0000 0.5000 0.5000
0.0070 0.9706 0.2515
0.4930 0.4706 0.2486
0.5070 0.5294 0.7514
0.9930 0.0294 0.7485
```

The following is a DFT calculation (GGA+U) of a geometry-optimized Na4Tm3MoO8 structure.

As for the calculated total energy: -6.664 eV/atom. As for the crystal system: trigonal.

Structure (POSCAR):
```
Na4Tm3MoO8
1.0
-1.9874 1.0418 6.2640
-6.0445 -2.6132 -1.4831
5.4938 -3.5576 -1.1992
O Na Tm Mo
8 4 3 1
direct
0.2598 0.2897 0.0248
0.2350 0.7103 0.4700
0.7362 0.7088 0.4724
0.2638 0.2912 0.5276
0.7650 0.2897 0.5300
0.7402 0.7103 0.9752
0.2350 0.7103 0.9752
0.7650 0.2897 0.0248
0.5000 0.0000 0.0000
0.5000 0.0000 0.5000
0.0000 0.0000 0.5000
0.0000 0.0000 0.0000
0.0000 0.5000 0.5000
0.5000 0.5000 0.0000
0.5000 0.5000 0.5000
0.0000 0.5000 0.0000
```

The following is a DFT calculation (GGA+U) of a geometry-optimized NaUMoO6 structure.

As for the calculated total energy: -7.823 eV/atom. As for the crystal system: trigonal.

Structure (POSCAR):
```
NaUMoO6
1.0
-1.7784 2.5582 -4.5983
-3.6553 -2.3379 3.4677
-0.7109 8.6913 5.1102
O Mo Na U
12 2 2 2
direct
0.6228 0.9885 0.8543
0.6343 0.6228 0.1457
0.9885 0.3657 0.1457
0.9885 0.6228 0.3543
0.0115 0.3772 0.6457
0.6343 0.0115 0.3543
0.6228 0.6343 0.6457
0.3772 0.0115 0.1457
0.3772 0.3657 0.3543
0.3657 0.9885 0.6457
0.0115 0.6343 0.8543
0.3657 0.3772 0.8543
0.3333 0.6667 0.7500
0.6667 0.3333 0.2500
0.0000 0.0000 0.5000
0.0000 0.0000 0.0000
0.3333 0.6667 0.2500
0.6667 0.3333 0.7500
```

The following is a DFT calculation (GGA+U) of a geometry-optimized Na2UMoO6 structure.

As for the calculated total energy: -7.428 eV/atom. As for the crystal system: monoclinic.

Structure (POSCAR):
```
Na2UMoO6
1.0
-2.0779 -3.9154 -3.5551
-1.4570 -3.3017 4.4879
-7.2286 3.6028 0.3037
O Na Mo U
12 4 2 2
direct
0.2991 0.7130 0.4565
0.7008 0.2866 0.9567
0.7009 0.2870 0.5435
0.2992 0.7134 0.0433
0.2008 0.2134 0.4567
0.5820 0.0233 0.2449
0.9180 0.5233 0.2551
0.2009 0.2130 0.0435
0.4180 0.9767 0.7551
0.7992 0.7866 0.5433
0.7991 0.7870 0.9565
0.0820 0.4767 0.7449
0.0059 0.9703 0.2499
0.5059 0.5297 0.7499
0.9941 0.0297 0.7501
0.4941 0.4703 0.2501
0.5000 0.0000 0.0000
0.0000 0.5000 0.5000
0.0000 0.5000 0.0000
0.5000 0.0000 0.5000
```

The following is a DFT calculation (GGA+U) of a geometry-optimized NaV2MoO8 structure.

As for the calculated total energy: -6.926 eV/atom. As for the crystal system: tetragonal.

Structure (POSCAR):
```
NaV2MoO8
1.0
-1.7065 -4.4922 3.2171
5.0273 -0.5250 -2.8092
0.7122 4.3956 3.6896
Mo O V Na
1 8 2 1
direct
0.2500 0.7500 0.5000
0.3380 0.5447 0.2067
0.4553 0.6620 0.7933
0.3691 0.0452 0.3239
0.7214 0.0452 0.6761
0.3380 0.1314 0.7933
0.9548 0.2786 0.3239
0.8686 0.6620 0.2067
0.9548 0.6309 0.6761
0.5000 0.5000 0.0000
0.7500 0.2500 0.5000
0.0000 0.0000 0.0000
```

The following is a DFT calculation (GGA+U) of a geometry-optimized Na2VMoO6 structure.

As for the calculated total energy: -6.485 eV/atom. As for the crystal system: tetragonal.

Structure (POSCAR):
```
Na2VMoO6
1.0
3.9231 0.0000 0.0000
0.0000 5.4379 0.0000
0.0000 0.0000 5.4379
O Na Mo V
6 2 1 1
direct
0.1562 0.5000 0.5000
0.1518 0.0000 0.0000
0.6495 0.7476 0.7476
0.6495 0.2524 0.7476
0.6495 0.7476 0.2524
0.6495 0.2524 0.2524
0.1369 0.0000 0.5000
0.1369 0.5000 0.0000
0.6607 0.0000 0.0000
0.6064 0.5000 0.5000
```

The following is a DFT calculation (GGA+U) of a geometry-optimized Na2V2MoO6 structure.

As for the calculated total energy: -6.827 eV/atom. As for the crystal system: monoclinic.

Structure (POSCAR):
```
Na2V2MoO6
1.0
5.3586 -0.0509 0.0441
-2.6928 4.6331 0.0441
-0.9391 -1.6142 5.5391
O Na V Mo
6 2 2 1
direct
0.7372 0.7372 0.6937
0.0579 0.4007 0.6932
0.2628 0.2628 0.3063
0.4007 0.0579 0.6932
0.5993 0.9421 0.3068
0.9421 0.5993 0.3068
0.8296 0.1704 0.0000
0.1704 0.8296 0.0000
0.3344 0.6656 0.5000
0.6656 0.3344 0.5000
0.0000 0.0000 0.5000
```

The following is a DFT calculation (GGA+U) of a geometry-optimized NaVMoO6 structure.

As for the calculated total energy: -6.839 eV/atom. As for the crystal system: monoclinic.

Structure (POSCAR):
```
NaVMoO6
1.0
0.2786 -2.8753 4.2718
2.1230 0.3342 4.6877
-5.0120 2.2395 4.9458
O Mo Na V
6 1 1 1
direct
0.6973 0.6973 0.4312
0.9713 0.9713 0.7013
0.3173 0.3173 0.1353
0.3073 0.3073 0.5532
0.0197 0.0197 0.3238
0.6659 0.6659 0.8522
0.8168 0.8168 0.6287
0.9906 0.9906 0.0184
0.1859 0.1859 0.3570
```

The following is a DFT calculation (GGA+U) of a geometry-optimized NaVMo2O8 structure.

As for the calculated total energy: -6.957 eV/atom. As for the crystal system: trigonal.

Structure (POSCAR):
```
NaVMo2O8
1.0
5.7793 0.0000 0.0000
-2.8897 5.0050 0.0000
0.0000 0.0000 6.4603
Na O Mo V
1 8 2 1
direct
0.0000 0.0000 0.5000
0.3333 0.6667 0.4578
0.6790 0.8395 0.8139
0.1605 0.3210 0.8139
0.8395 0.1605 0.1861
0.8395 0.6790 0.1861
0.1605 0.8395 0.8139
0.6667 0.3333 0.5422
0.3210 0.1605 0.1861
0.6667 0.3333 0.2719
0.3333 0.6667 0.7281
0.0000 0.0000 0.0000
```

The following is a DFT calculation (GGA+U) of a geometry-optimized NaVMoO6 structure.

As for the calculated total energy: -6.822 eV/atom. As for the crystal system: trigonal.

Structure (POSCAR):
```
NaVMoO6
1.0
5.1245 0.0000 0.0000
2.5623 4.4379 0.0001
0.0001 -0.0002 5.2407
O Na Mo V
6 1 1 1
direct
0.9981 0.3842 0.2924
0.9926 0.6299 0.7063
0.6299 0.3775 0.7063
0.3841 0.6178 0.2924
0.6177 0.9981 0.2924
0.3774 0.9926 0.7063
0.0000 0.0000 0.0089
0.3333 0.3333 0.5568
0.6666 0.6667 0.4382
```

The following is a DFT calculation (GGA+U) of a geometry-optimized NaVMoO4 structure.

As for the calculated total energy: -6.882 eV/atom. As for the crystal system: orthorhombic.

Structure (POSCAR):
```
NaVMoO4
1.0
-4.1610 -2.4240 2.7019
3.5861 -3.3008 -2.5953
3.8094 -0.2780 5.6173
Mo O V Na
2 8 2 2
direct
0.5000 0.5000 0.0000
0.5000 0.5000 0.5000
0.2915 0.2259 0.2500
0.2259 0.2915 0.7500
0.7085 0.7741 0.7500
0.2783 0.7217 0.4494
0.7217 0.2783 0.5506
0.2783 0.7217 0.0506
0.7741 0.7085 0.2500
0.7217 0.2783 0.9494
0.1553 0.8447 0.2500
0.8447 0.1553 0.7500
0.1774 0.8226 0.7500
0.8226 0.1774 0.2500
```

The following is a DFT calculation (GGA+U) of a geometry-optimized Na2MoWO6 structure.

As for the calculated total energy: -6.578 eV/atom. As for the crystal system: tetragonal.

Structure (POSCAR):
```
Na2MoWO6
1.0
-2.6468 -2.7912 0.8280
2.6070 -1.0142 4.9151
-3.2733 3.8549 2.5316
O Na W Mo
6 2 1 1
direct
0.6446 0.7592 0.2408
0.1446 0.0000 0.0000
0.6446 0.7592 0.7592
0.1447 0.5000 0.5000
0.6446 0.2408 0.2408
0.6446 0.2408 0.7592
0.1448 0.0000 0.5000
0.1448 0.5000 0.0000
0.6446 0.0000 0.0000
0.6447 0.5000 0.5000
```

The following is a DFT calculation (GGA+U) of a geometry-optimized Na2Mo2WO6 structure.

As for the calculated total energy: -6.559 eV/atom. As for the crystal system: monoclinic.

Structure (POSCAR):
```
Na2Mo2WO6
1.0
-3.9291 2.6741 -2.4403
2.8195 -3.4138 -2.9900
-3.2796 -3.9124 3.0662
Na O Mo W
2 6 2 1
direct
0.8231 0.1769 0.0000
0.1769 0.8231 0.0000
0.2369 0.2369 0.2741
0.9447 0.6099 0.3065
0.6099 0.9447 0.3065
0.3901 0.0553 0.6935
0.0553 0.3901 0.6935
0.7631 0.7631 0.7259
0.3521 0.6479 0.5000
0.6479 0.3521 0.5000
0.0000 0.0000 0.5000
```